First-principles (GGA-PBE) data for an optimized crystal structure of MgMn2Fe2, as listed in the Alexandria database.

Cell lengths 6.9002, 6.9002, 2.5296 Å; angles 90.00, 90.00, 90.00 degrees
With the nearest neighbours (Å) after each atom.
Element x y z (fractional)
Mg (0.0000, 0.0000, 0.0000)  2 Mg 2.53, 4 Fe 2.73
Mg (0.5000, 0.5000, 0.0000)  2 Mg 2.53, 4 Fe 2.73
Mn (0.1643, 0.3357, 0.5000)  6 Fe 2.37-2.42, 2 Mn 2.53
Mn (0.3357, 0.8357, 0.5000)  6 Fe 2.37-2.42, 2 Mn 2.53
Mn (0.6643, 0.1643, 0.5000)  6 Fe 2.37-2.42, 2 Mn 2.53
Mn (0.8357, 0.6643, 0.5000)  6 Fe 2.37-2.42, 2 Mn 2.53
Fe (0.1241, 0.6241, 0.0000)  6 Mn 2.37-2.42, 3 Fe 2.42-2.53
Fe (0.3759, 0.1241, 0.0000)  6 Mn 2.37-2.42, 3 Fe 2.42-2.53
Fe (0.6241, 0.8759, 0.0000)  6 Mn 2.37-2.42, 3 Fe 2.42-2.53
Fe (0.8759, 0.3759, 0.0000)  6 Mn 2.37-2.42, 3 Fe 2.42-2.53

Computed properties:
Total magnetization = 0.0 μB/cell
Energy relative to the elements = 236 meV per atom
Electronic total energy = -7.136 eV/atom
Space group = P4/mbm (127)


First-principles (GGA-PBE) data for an optimized crystal structure of MgMnFe2, as listed in the Alexandria database.

Cell lengths 2.6432, 4.0624, 5.2722 Å; angles 90.00, 103.51, 90.00 degrees
With the nearest neighbours (Å) after each atom.
Element x y z (fractional)
Mg (0.0000, 0.0000, 0.0000)  2 Mg 2.64, 6 Fe 2.65-2.91, 4 Mn 2.75-2.95
Mn (0.7154, 0.5000, 0.2898)  3 Fe 2.46-2.54, 2 Mn 2.64, 2 Mg 2.75
Fe (0.2851, 0.5000, 0.7310)  4 Fe 2.41-2.64, 1 Mn 2.46, 2 Mg 2.68
Fe (0.4380, 0.0000, 0.5136)  4 Fe 2.41-2.64, 2 Mn 2.54, 2 Mg 2.65-2.68

Computed properties:
Total magnetization = 7.8 μB/cell
Energy relative to the elements = 254 meV per atom
Electronic total energy = -6.669 eV/atom
Space group = Pm (6)


First-principles (GGA-PBE) data for an optimized crystal structure of MgMnFe2, as listed in the Alexandria database.

Cell lengths 2.5493, 3.9937, 5.2382 Å; angles 90.00, 103.81, 90.00 degrees
With the nearest neighbours (Å) after each atom.
Element x y z (fractional)
Mg (0.0000, 0.0000, 0.0000)  2 Mg 2.55, 2 Mn 2.62, 4 Fe 2.65
Mn (0.5000, 0.0000, 0.5000)  4 Fe 2.46, 2 Mn 2.55, 2 Mg 2.62
Fe (0.2512, 0.5000, 0.7190)  3 Fe 2.35-2.55, 2 Mn 2.46
Fe (0.7488, 0.5000, 0.2810)  3 Fe 2.35-2.55, 2 Mn 2.46

Computed properties:
Total magnetization = 5.8 μB/cell
Energy relative to the elements = 281 meV per atom
Electronic total energy = -6.642 eV/atom
Space group = P2/m (10)


First-principles (GGA-PBE) data for an optimized crystal structure of MgMnFe, as listed in the Alexandria database.

Cell lengths 7.1035, 7.1035, 4.3460 Å; angles 90.00, 90.00, 157.42 degrees
With the nearest neighbours (Å) after each atom.
Element x y z (fractional)
Mg (0.0620, 0.9380, 0.7500)  6 Fe 2.77-3.06, 2 Mn 2.77, 4 Mg 2.78
Mg (0.9380, 0.0620, 0.2500)  6 Fe 2.77-3.06, 2 Mn 2.77, 4 Mg 2.78
Mn (0.2658, 0.7342, 0.2500)  4 Fe 2.31-2.59
Mn (0.7342, 0.2658, 0.7500)  4 Fe 2.31-2.59
Fe (0.3666, 0.6334, 0.7500)  4 Mn 2.31-2.59
Fe (0.6334, 0.3666, 0.2500)  4 Mn 2.31-2.59

Computed properties:
Total magnetization = 7.5 μB/cell
Energy relative to the elements = 290 meV per atom
Electronic total energy = -6.119 eV/atom
Space group = Cmcm (63)


First-principles (GGA-PBE) data for an optimized crystal structure of Mg14MnFe, as listed in the Alexandria database.

Cell lengths 10.0465, 6.2180, 6.2180 Å; angles 59.81, 90.00, 90.00 degrees
With the nearest neighbours (Å) after each atom.
Element x y z (fractional)
Mg (0.0000, 0.0000, 0.0000)  12 Mg 3.09-3.23
Mg (0.0000, 0.0028, 0.5013)  12 Mg 3.08-3.28
Mg (0.0000, 0.4993, 0.4993)  12 Mg 3.08-3.25
Mg (0.0000, 0.5013, 0.0028)  12 Mg 3.08-3.28
Mg (0.2539, 0.6650, 0.6650)  1 Mn 3.03, 11 Mg 3.04-3.17
Mg (0.2584, 0.1639, 0.1639)  1 Fe 2.97, 11 Mg 3.01-3.20
Mg (0.2708, 0.1698, 0.6747)  1 Fe 2.91, 1 Mn 2.92, 9 Mg 2.99-3.25
Mg (0.2708, 0.6747, 0.1698)  1 Fe 2.91, 1 Mn 2.92, 9 Mg 2.99-3.25
Mg (0.5000, 0.4968, 0.9951)  8 Mg 2.99-3.11, 2 Fe 3.03-3.19, 2 Mn 3.04-3.17
Mg (0.5000, 0.9951, 0.4968)  8 Mg 2.99-3.11, 2 Fe 3.03-3.19, 2 Mn 3.04-3.17
Mg (0.7292, 0.1698, 0.6747)  1 Fe 2.91, 1 Mn 2.92, 9 Mg 2.99-3.25
Mg (0.7292, 0.6747, 0.1698)  1 Fe 2.91, 1 Mn 2.92, 9 Mg 2.99-3.25
Mg (0.7416, 0.1639, 0.1639)  1 Fe 2.97, 11 Mg 3.01-3.20
Mg (0.7461, 0.6650, 0.6650)  1 Mn 3.03, 11 Mg 3.04-3.17
Mn (0.5000, 0.5026, 0.5026)  10 Mg 2.92-3.17, 2 Fe 3.10
Fe (0.5000, 0.0050, 0.0050)  10 Mg 2.91-3.19, 2 Mn 3.10

Computed properties:
Total magnetization = 6.3 μB/cell
Energy relative to the elements = 107 meV per atom
Electronic total energy = -2.390 eV/atom
Space group = Amm2 (38)


First-principles (GGA-PBE) data for an optimized crystal structure of MgMnFe2, as listed in the Alexandria database.

Cell lengths 2.6128, 2.6128, 7.4446 Å; angles 90.00, 90.00, 90.00 degrees
With the nearest neighbours (Å) after each atom.
Element x y z (fractional)
Mg (0.0000, 0.0000, 0.0000)  4 Mg 2.61, 8 Fe 2.78
Mn (0.0000, 0.0000, 0.5000)  8 Fe 2.48, 4 Mn 2.61
Fe (0.5000, 0.5000, 0.2786)  4 Mn 2.48, 4 Fe 2.61
Fe (0.5000, 0.5000, 0.7214)  4 Mn 2.48, 4 Fe 2.61

Computed properties:
Total magnetization = 2.2 μB/cell
Energy relative to the elements = 201 meV per atom
Electronic total energy = -6.721 eV/atom
Space group = P4/mmm (123)


First-principles (GGA-PBE) data for an optimized crystal structure of MgMnFe2, as listed in the Alexandria database.

Cell lengths 3.7365, 3.7365, 3.9554 Å; angles 90.00, 90.00, 90.00 degrees
With the nearest neighbours (Å) after each atom.
Element x y z (fractional)
Mg (0.0000, 0.0000, 0.0000)  4 Mn 2.64, 8 Fe 2.72
Mn (0.5000, 0.5000, 0.0000)  4 Mg 2.64, 8 Fe 2.72
Fe (0.0000, 0.5000, 0.5000)  4 Fe 2.64, 4 Mn 2.72, 4 Mg 2.72
Fe (0.5000, 0.0000, 0.5000)  4 Fe 2.64, 4 Mn 2.72, 4 Mg 2.72

Computed properties:
Total magnetization = 8.5 μB/cell
Energy relative to the elements = 270 meV per atom
Electronic total energy = -6.653 eV/atom
Space group = P4/mmm (123)


First-principles (GGA-PBE) data for an optimized crystal structure of MgMn2Fe, as listed in the Alexandria database.

Cell lengths 2.6655, 2.6655, 7.4598 Å; angles 90.00, 90.00, 90.00 degrees
With the nearest neighbours (Å) after each atom.
Element x y z (fractional)
Mg (0.0000, 0.0000, 0.0000)  4 Mg 2.67, 4 Fe 2.78, 4 Mn 2.91
Mn (0.0000, 0.0000, 0.5167)  4 Fe 2.45, 8 Mn 2.50-2.67
Mn (0.5000, 0.5000, 0.2968)  8 Mn 2.50-2.67
Fe (0.5000, 0.5000, 0.7265)  4 Mn 2.45, 4 Fe 2.67

Computed properties:
Total magnetization = 3.0 μB/cell
Energy relative to the elements = 214 meV per atom
Electronic total energy = -6.885 eV/atom
Space group = P4mm (99)